A plane-wave DFT calculation with PBE-GGA was carried out for a relaxed SrAlIN2 crystal.

a = 4.602 Å, b = 4.602 Å, c = 6.737 Å
α = 90.00°, β = 90.00°, γ = 90.00°
Space group P4/mmm (No. 123)
Symmetry-distinct sites (fractional):
Sr 0.000 0.000 0.000 x1
Al 0.500 0.500 0.500 x1
I 0.000 0.000 0.500 x1
N 0.000 0.500 0.000 x2

formation energy (no corrections): 7.18 eV/f.u.



A plane-wave DFT calculation with PBE-GGA was carried out for a relaxed SrMo3Pt crystal.

a = 4.934 Å, b = 4.934 Å, c = 4.934 Å
α = 90.00°, β = 90.00°, γ = 90.00°
Space group Pm-3m (No. 221)
Symmetry-distinct sites (fractional):
Sr 0.000 0.000 0.000 x1
Mo 0.000 0.500 0.500 x3
Pt 0.500 0.500 0.500 x1

calculated formation energy: 1.405 eV per atom



A plane-wave DFT calculation with PBE-GGA was carried out for a relaxed CuMo5 crystal.

a = 10.584 Å, b = 2.609 Å, c = 6.962 Å
α = 90.00°, β = 104.28°, γ = 90.00°
Space group Cm (No. 8)
Symmetry-distinct sites (fractional):
Cu 0.000 0.000 0.000 x2
Mo 0.061 0.000 0.639 x2
Mo 0.165 0.500 0.325 x2
Mo 0.230 0.500 0.968 x2
Mo 0.332 0.000 0.669 x2
Mo 0.407 0.000 0.290 x2

calculated formation energy: 0.300 eV per atom



A plane-wave DFT calculation with PBE-GGA was carried out for a relaxed PmSm2ErTe6 crystal.

a = 7.8148 Å, b = 7.8148 Å, c = 21.3110 Å
α = 90.00°, β = 90.00°, γ = 120.00°
Space group R3 (No. 146, hexagonal axes)
Symmetry-distinct sites (fractional):
Pm 0.0000 0.0000 0.0000 x3
Sm 0.0000 0.0000 0.3099 x3
Sm 0.0000 0.0000 0.8114 x3
Er 0.0000 0.0000 0.4982 x3
Te 0.0233 0.3463 0.5720 x9
Te 0.0273 0.6685 0.0738 x9

formation energy (no corrections): -13.69 eV/f.u.



A plane-wave DFT calculation with PBE-GGA was carried out for a relaxed Nb2Ni17 crystal.

a = 8.0562 Å, b = 8.0562 Å, c = 11.9926 Å
α = 90.00°, β = 90.00°, γ = 120.00°
Space group R-3m (No. 166, hexagonal axes)
Symmetry-distinct sites (fractional):
Nb 0.0000 0.0000 0.1755 x6
Ni 0.0000 0.0000 0.3981 x6
Ni 0.0000 0.3087 0.5000 x18
Ni 0.0000 0.5000 0.0000 x9
Ni 0.0069 0.5035 0.6533 x18

calculated formation energy: -0.004 eV per atom



A plane-wave DFT calculation with PBE-GGA was carried out for a relaxed CeFeCo crystal.

a = 3.9239 Å, b = 3.9239 Å, c = 3.9757 Å
α = 90.00°, β = 90.00°, γ = 120.00°
Space group P-6m2 (No. 187)
Symmetry-distinct sites (fractional):
Ce 0.0000 0.0000 0.0000 x1
Fe 0.6667 0.3333 0.5000 x1
Co 0.3333 0.6667 0.5000 x1

calculated formation energy: -0.025 eV per atom



A plane-wave DFT calculation with PBE-GGA was carried out for a relaxed Nd2Sm2Ho2Mg crystal.

a = 12.261 Å, b = 3.709 Å, c = 11.654 Å
α = 90.00°, β = 119.49°, γ = 90.00°
Space group C2/m (No. 12)
Symmetry-distinct sites (fractional):
Nd 0.025 0.000 0.242 x4
Sm 0.181 0.000 0.588 x4
Ho 0.243 0.000 0.122 x4
Mg 0.000 0.500 0.000 x2

calculated formation energy: 0.081 eV per atom



A plane-wave DFT calculation with PBE-GGA was carried out for a relaxed NaLi2MgPt crystal.

a = 4.886 Å, b = 4.886 Å, c = 5.055 Å
α = 90.00°, β = 90.00°, γ = 90.00°
Space group P4/mmm (No. 123)
Symmetry-distinct sites (fractional):
Na 0.000 0.000 0.000 x1
Li 0.000 0.500 0.500 x2
Mg 0.500 0.500 0.000 x1
Pt 0.500 0.500 0.500 x1

calculated formation energy: -0.216 eV per atom



A plane-wave DFT calculation with PBE-GGA was carried out for a relaxed TmBeCu11 crystal.

a = 4.752 Å, b = 11.808 Å, c = 6.368 Å
α = 90.00°, β = 110.43°, γ = 90.00°
Space group C2/m (No. 12)
Symmetry-distinct sites (fractional):
Tm 0.000 0.000 0.000 x2
Be 0.000 0.500 0.500 x2
Cu 0.000 0.000 0.500 x2
Cu 0.101 0.392 0.227 x8
Cu 0.176 0.175 0.356 x8
Cu 0.250 0.250 0.000 x4

calculated formation energy: -0.103 eV per atom



A plane-wave DFT calculation with PBE-GGA was carried out for a relaxed V2CoCl crystal.

a = 5.875 Å, b = 5.875 Å, c = 5.875 Å
α = 90.00°, β = 90.00°, γ = 90.00°
Space group Fm-3m (No. 225)
Symmetry-distinct sites (fractional):
V 0.250 0.250 0.250 x8
Co 0.000 0.000 0.000 x4
Cl 0.000 0.000 0.500 x4

formation energy (no corrections): 1.83 eV/f.u.



A plane-wave DFT calculation with PBE-GGA was carried out for a relaxed HoZn3Ru crystal.

a = 5.600 Å, b = 8.137 Å, c = 7.938 Å
α = 90.00°, β = 90.00°, γ = 90.00°
Space group Pnma (No. 62)
Symmetry-distinct sites (fractional):
Ho 0.242 0.250 0.129 x4
Zn 0.117 0.068 0.813 x8
Zn 0.232 0.750 0.039 x4
Ru 0.000 0.000 0.500 x4

calculated formation energy: -0.130 eV per atom



A plane-wave DFT calculation with PBE-GGA was carried out for a relaxed RhPb3Br crystal.

a = 5.585 Å, b = 5.585 Å, c = 5.585 Å
α = 90.00°, β = 90.00°, γ = 90.00°
Space group Pm-3m (No. 221)
Symmetry-distinct sites (fractional):
Rh 0.000 0.000 0.000 x1
Pb 0.000 0.500 0.500 x3
Br 0.500 0.500 0.500 x1

formation energy (no corrections): 4.94 eV/f.u.